16
Lattice="2.0055 -5.0993 0.0000 2.0055 5.0993 0.0000 0.0000 0.0000 13.2663" Properties=species:S:1:pos:R:3 comment="Tm3Fe2Si3 | Alexandria | PBEsol | optimized geometry" energy_ha_per_atom=-0.2570 vol_a3_per_cell=271.3 raw_formation_energy_ev_per_fu=-6.080 pbc="T T T"
Tm 2.0055 4.2717 8.1228
Tm 2.0055 4.2717 11.7766
Tm 2.0055 1.3663 9.9497
Tm 2.0055 -1.3663 3.3166
Tm 2.0055 -4.2717 1.4897
Tm 2.0055 -4.2717 5.1435
Fe 2.0055 2.9139 1.0752
Fe 2.0055 2.9139 5.5579
Fe 2.0055 -2.9139 7.7084
Fe 2.0055 -2.9139 12.1911
Si 2.0055 1.7957 3.3166
Si 2.0055 1.2503 7.1575
Si 2.0055 1.2503 12.7419
Si 2.0055 -1.2503 0.5244
Si 2.0055 -1.2503 6.1088
Si 2.0055 -1.7957 9.9497